DFT (GGA+U) results for an optimized crystal structure of MoAuIO2.

Lattice parameters (Å, degrees): 3.9349 3.9349 7.6638 90.00 90.00 90.00
Closest atoms and distances in Å follow each position.
Fractional coordinates of all 5 atoms:
Au  0.5000  0.5000  0.5000  4 I 2.78
Mo  0.0000  0.0000  0.0000  4 O 1.97
I  0.0000  0.0000  0.5000  4 Au 2.78
O  0.0000  0.5000  0.0000  2 Mo 1.97
O  0.5000  0.0000  0.0000  2 Mo 1.97

Summary:
Crystal system   tetragonal
Total magnetic moment   1.96 μB/f.u.
Theoretical density   6.32 g/cm³
Distance to the lowest polymorph of the same formula   0.0 kJ per mole of atoms
Density of states at the Fermi level   0.89 states/eV/cell
E   -4.97 eV/atom